Below is a relaxed ScBeAlPt crystal, with properties calculated at the PBE level.

Structure (extended XYZ):
```
4
Lattice="0.000 3.072 3.072 3.072 0.000 3.072 3.072 3.072 0.000" Properties=species:S:1:pos:R:3 pbc="T T T"
Al 1.536 1.536 1.536
Be 4.609 4.609 4.609
Pt 3.072 3.072 3.072
Sc 0.000 0.000 0.000
```

## Properties
Magnetization   0.001 μB per atom
Relative energy among the computed polymorphs   0.12 eV per formula unit
DFT total energy   -5.621 eV per atom
Calculated volume   14.5 Å³ per atom
Crystal system   cubic